# 1
Entry from OQMD: a relaxed Tb2N crystal (PBE).

Unit cell a=8.1174 b=8.1174 c=8.1174 alpha=90.00 beta=90.00 gamma=90.00
Closest atoms and distances in Å follow each position.
Space group Fd-3m (No. 227, origin choice 2)
Asymmetric unit:
Tb  0.0000  0.0000  0.0000 (multiplicity 16)  6 Tb 2.87
N  0.1250  0.1250  0.6250 (multiplicity 8)  12 Tb 3.37, 4 N 3.51

Output
VASP energy (eV per atom): -4.11


# 2
Entry from OQMD: a relaxed RbReNO crystal (PBE).

Unit cell a=4.3534 b=4.3534 c=7.7687 alpha=90.00 beta=90.00 gamma=90.00
Closest atoms and distances in Å follow each position.
Space group P4/nmm (No. 129, origin choice 2)
Asymmetric unit:
Rb  0.2500  0.7500  0.0000 (multiplicity 2)  4 N 2.72
Re  0.2500  0.2500  0.4342 (multiplicity 2)  1 N 1.74
N  0.2500  0.2500  0.2106 (multiplicity 2)  1 Re 1.74
O  0.2500  0.7500  0.5000 (multiplicity 2)  4 Re 2.24

Output
VASP energy (eV per atom): -6.46


# 3
Entry from OQMD: a relaxed Tb2HoSn3Ir2Pd crystal (PBE).

Unit cell a=3.9276 b=13.0693 c=7.5570 alpha=90.00 beta=90.00 gamma=90.00
Closest atoms and distances in Å follow each position.
Space group Amm2 (No. 38)
Asymmetric unit:
Tb  0.0000  0.2052  0.0000 (multiplicity 4)  4 Ir 3.02, 1 Pd 3.10, 6 Sn 3.15-3.36
Ho  0.0000  0.0000  0.3840 (multiplicity 2)  4 Ir 3.00, 1 Pd 3.09, 6 Sn 3.15-3.35
Sn  0.5000  0.0000  0.0580 (multiplicity 2)  2 Pd 2.80, 2 Ir 2.81
Sn  0.5000  0.1316  0.6627 (multiplicity 4)  2 Pd 2.79, 2 Ir 2.81-2.83
Ir  0.5000  0.1657  0.2949 (multiplicity 4)  3 Sn 2.81-2.83, 2 Ho 3.00, 4 Tb 3.02
Pd  0.0000  0.0000  0.7932 (multiplicity 2)  6 Sn 2.79-2.80, 1 Ho 3.09, 2 Tb 3.10

Output
VASP energy (eV per atom): -6.28


What is the VASP energy in the first record?
-4.11 eV per atom


VASP energy of number 1 (Tb2N)?
-4.11 eV per atom


What is the VASP energy in the second record?
-6.46 eV per atom


Among the records above, which one has the highest VASP energy?
Tb2N